A plane-wave DFT calculation with PBE-GGA was carried out for NpAlFe after structural relaxation.

a b c (Å): 6.053 6.053 6.053
angles (deg): 152.63 152.63 39.10
Atoms (fractional coordinates):
Np 0.000 0.000 0.000
Al 0.713 0.713 0.000
Fe 0.340 0.340 0.000

- DOS at the Fermi energy: 1.76 states/eV per atom
- Space-group type: I4mm (107)
- ΔH_f (0 K): -0.05 eV per atom

=====

A plane-wave DFT calculation with PBE-GGA was carried out for NpAlFe2 after structural relaxation.

a b c (Å): 2.831 2.831 6.649
angles (deg): 90.00 90.00 90.00
Atoms (fractional coordinates):
Np 0.000 0.000 0.000
Al 0.000 0.000 0.500
Fe 0.500 0.500 0.274
Fe 0.500 0.500 0.726

- DOS at the Fermi energy: 0.77 states/eV per atom
- Space-group type: P4/mmm (123)
- ΔH_f (0 K): -0.06 eV per atom

=====

A plane-wave DFT calculation with PBE-GGA was carried out for NpAlFe after structural relaxation.

a b c (Å): 7.302 5.154 4.938
angles (deg): 90.00 97.44 90.00
Atoms (fractional coordinates):
Np 0.098 0.168 0.438
Np 0.098 0.332 0.938
Np 0.902 0.668 0.062
Np 0.902 0.832 0.562
Al 0.309 0.648 0.409
Al 0.309 0.852 0.909
Al 0.691 0.148 0.091
Al 0.691 0.352 0.591
Fe 0.406 0.149 0.325
Fe 0.406 0.351 0.825
Fe 0.594 0.649 0.175
Fe 0.594 0.851 0.675

- DOS at the Fermi energy: 1.36 states/eV per atom
- Space-group type: P2_1/c (14)
- ΔH_f (0 K): -0.05 eV per atom

=====

A plane-wave DFT calculation with PBE-GGA was carried out for NpAl6Fe6 after structural relaxation.

a b c (Å): 6.545 6.545 6.545
angles (deg): 135.52 98.85 97.62
Atoms (fractional coordinates):
Np 0.000 0.000 0.000
Al 0.193 0.693 0.500
Al 0.339 0.000 0.339
Al 0.346 0.346 0.000
Al 0.654 0.654 0.000
Al 0.661 0.000 0.661
Al 0.807 0.307 0.500
Fe 0.000 0.000 0.500
Fe 0.000 0.500 0.000
Fe 0.239 0.500 0.739
Fe 0.500 0.000 0.000
Fe 0.500 0.500 0.500
Fe 0.761 0.500 0.261

- DOS at the Fermi energy: 1.34 states/eV per atom
- Space-group type: Immm (71)
- ΔH_f (0 K): -0.24 eV per atom

=====

A plane-wave DFT calculation with PBE-GGA was carried out for NpAl2Fe2P after structural relaxation.

a b c (Å): 4.201 4.201 5.498
angles (deg): 90.00 90.00 90.00
Atoms (fractional coordinates):
Np 0.000 0.000 0.000
Al 0.500 0.500 0.238
Al 0.500 0.500 0.762
Fe 0.000 0.500 0.500
Fe 0.500 0.000 0.500
P 0.000 0.000 0.500

- DOS at the Fermi energy: 1.74 states/eV per atom
- Space-group type: P4/mmm (123)
- ΔH_f (0 K): -0.24 eV per atom

=====

A plane-wave DFT calculation with PBE-GGA was carried out for NpAlFeRu after structural relaxation.

a b c (Å): 4.470 4.470 4.470
angles (deg): 60.00 60.00 60.00
Atoms (fractional coordinates):
Np 0.000 0.000 0.000
Al 0.500 0.500 0.500
Fe 0.750 0.750 0.750
Ru 0.250 0.250 0.250

- DOS at the Fermi energy: 0.96 states/eV per atom
- Space-group type: F-43m (216)
- ΔH_f (0 K): -0.20 eV per atom

=====

A plane-wave DFT calculation with PBE-GGA was carried out for Np2AlFe5Si2 after structural relaxation.

a b c (Å): 9.734 9.734 2.976
angles (deg): 90.00 90.00 90.00
Atoms (fractional coordinates):
Np 0.177 0.323 0.000
Np 0.323 0.823 0.000
Np 0.677 0.177 0.000
Np 0.823 0.677 0.000
Al 0.000 0.000 0.000
Al 0.500 0.500 0.000
Fe 0.000 0.500 0.500
Fe 0.042 0.788 0.500
Fe 0.212 0.042 0.500
Fe 0.288 0.542 0.500
Fe 0.458 0.288 0.500
Fe 0.500 0.000 0.500
Fe 0.542 0.712 0.500
Fe 0.712 0.458 0.500
Fe 0.788 0.958 0.500
Fe 0.958 0.212 0.500
Si 0.124 0.624 0.000
Si 0.376 0.124 0.000
Si 0.624 0.876 0.000
Si 0.876 0.376 0.000

- DOS at the Fermi energy: 1.44 states/eV per atom
- Total energy: -8.40 eV per atom
- Space-group type: P4/mbm (127)